Computed, not measured: a geometry-optimized LiNiOF structure at the PBE+U level of DFT.

Unit cell a=2.9560 b=2.9560 c=16.6119 alpha=90.00 beta=90.00 gamma=90.00
Last column: nearest neighbours and their distance in Å.
Space group P4/nmm (No. 129, origin choice 2)
Unique sites:
Li: 0.2500 0.2500 0.0594 (multiplicity 2)  6 F 1.99-2.09
Li: 0.2500 0.2500 0.8172 (multiplicity 2)  5 F 2.03-2.09, 1 O 2.06
Ni: 0.2500 0.2500 0.3092 (multiplicity 2)  5 O 2.09-2.10, 1 F 2.16
Ni: 0.2500 0.2500 0.5647 (multiplicity 2)  6 O 2.09-2.14
O: 0.2500 0.2500 0.4358 (multiplicity 2)  6 Ni 2.09-2.14
O: 0.2500 0.2500 0.6929 (multiplicity 2)  1 Li 2.06, 5 Ni 2.09-2.13
F: 0.2500 0.2500 0.1792 (multiplicity 2)  5 Li 1.99-2.09, 1 Ni 2.16
F: 0.2500 0.2500 0.9396 (multiplicity 2)  6 Li 1.99-2.09

Results
Electronic total energy   -19.238 eV per formula unit
Crystal system   tetragonal